[1]
Material: Y3ZrP
Method: DFT, PBE-GGA
State: optimized geometry

Cell lengths 5.3177, 5.3177, 5.3177 Å; angles 90.00, 90.00, 90.00 degrees
With the nearest neighbours (Å) after each atom.
Element x y z (fractional)
Y (0.0000, 0.0000, 0.5000)  2 P 2.66
Y (0.0000, 0.5000, 0.0000)  2 P 2.66
Y (0.5000, 0.0000, 0.0000)  2 P 2.66
Zr (0.5000, 0.5000, 0.5000)  12 Y 3.76
P (0.0000, 0.0000, 0.0000)  6 Y 2.66

Results
**Crystal system**: cubic
**Formation enthalpy at 0 K**: -0.248 eV/atom
**ΔE to the lowest computed polymorph**: 0.000 eV per atom
**Energy**: -34.59 eV/f.u.

=====

[2]
Material: Pm5PtSe4
Method: DFT, PBE-GGA
State: optimized geometry

Cell lengths 15.2179, 15.2179, 15.2179 Å; angles 164.17, 164.17, 22.46 degrees
With the nearest neighbours (Å) after each atom.
Element x y z (fractional)
Pm (0.0000, 0.0000, 0.0000)  4 Pt 2.96, 2 Se 3.05
Pm (0.2022, 0.2022, 0.0000)  6 Se 2.97-2.99
Pm (0.4015, 0.4015, 0.0000)  1 Pt 2.94, 5 Se 2.97
Pm (0.5985, 0.5985, 0.0000)  1 Pt 2.94, 5 Se 2.97
Pm (0.7978, 0.7978, 0.0000)  6 Se 2.97-2.99
Pt (0.5000, 0.5000, 0.0000)  6 Pm 2.94-2.96
Se (0.1020, 0.1020, 0.0000)  6 Pm 2.97-3.05
Se (0.3020, 0.3020, 0.0000)  6 Pm 2.97-2.98
Se (0.6980, 0.6980, 0.0000)  6 Pm 2.97-2.98
Se (0.8980, 0.8980, 0.0000)  6 Pm 2.97-3.05

Results
**Crystal system**: tetragonal
**Energy**: -60.58 eV/f.u.
**E_form (uncorrected)**: -1685.2 meV/atom

=====

[3]
Material: NaNd2Al
Method: DFT, PBE-GGA
State: optimized geometry

Cell lengths 3.6389, 3.6389, 35.5032 Å; angles 90.00, 90.00, 120.00 degrees
With the nearest neighbours (Å) after each atom.
Element x y z (fractional)
Na (0.0000, 0.0000, 0.0000)  6 Na 3.64, 2 Nd 3.67
Na (0.3333, 0.6667, 0.6667)  6 Na 3.64, 2 Nd 3.67
Na (0.6667, 0.3333, 0.3333)  6 Na 3.64, 2 Nd 3.67
Nd (0.0000, 0.0000, 0.1034)  3 Al 3.08
Nd (0.0000, 0.0000, 0.8966)  3 Al 3.08
Nd (0.3333, 0.6667, 0.5633)  3 Al 3.08
Nd (0.3333, 0.6667, 0.7700)  3 Al 3.08
Nd (0.6667, 0.3333, 0.2300)  3 Al 3.08
Nd (0.6667, 0.3333, 0.4367)  3 Al 3.08
Al (0.0000, 0.0000, 0.5000)  6 Nd 3.08
Al (0.3333, 0.6667, 0.1667)  6 Nd 3.08
Al (0.6667, 0.3333, 0.8333)  6 Nd 3.08

Results
**Crystal system**: trigonal
**Formation enthalpy at 0 K**: 0.068 eV/atom
**ΔE to the lowest computed polymorph**: 0.154 eV per atom
**Energy**: -14.33 eV/f.u.

=====

[4]
Material: CsTl4Pb
Method: DFT, PBE-GGA
State: optimized geometry

Cell lengths 5.5240, 5.5240, 8.7539 Å; angles 90.00, 90.00, 120.00 degrees
With the nearest neighbours (Å) after each atom.
Element x y z (fractional)
Cs (0.0000, 0.0000, 0.0000)  12 Tl 4.19, 2 Pb 4.38
Tl (0.3333, 0.6667, 0.3111)  4 Tl 3.19-3.31
Tl (0.3333, 0.6667, 0.6889)  4 Tl 3.19-3.31
Tl (0.6667, 0.3333, 0.3111)  4 Tl 3.19-3.31
Tl (0.6667, 0.3333, 0.6889)  4 Tl 3.19-3.31
Pb (0.0000, 0.0000, 0.5000)  12 Tl 3.59

Results
**Crystal system**: hexagonal
**Formation enthalpy at 0 K**: -0.072 eV/atom
**ΔE to the lowest computed polymorph**: 0.000 eV per atom
**Energy**: -14.46 eV/f.u.

=====

[5]
Material: Li2ZnGaH
Method: DFT, PBE-GGA
State: optimized geometry

Cell lengths 3.8671, 3.8671, 4.3154 Å; angles 90.00, 90.00, 90.00 degrees
With the nearest neighbours (Å) after each atom.
Element x y z (fractional)
Li (0.0000, 0.5000, 0.0000)  2 H 1.93
Li (0.5000, 0.0000, 0.0000)  2 H 1.93
Zn (0.0000, 0.0000, 0.5000)  4 Ga 2.73, 8 Li 2.90
Ga (0.5000, 0.5000, 0.5000)  2 H 2.16
H (0.5000, 0.5000, 0.0000)  4 Li 1.93, 2 Ga 2.16

Results
**Crystal system**: tetragonal
**ΔE to the lowest computed polymorph**: 0.033 eV per atom
**Energy**: -12.10 eV/f.u.

=====

[6]
Material: ErPu3Au4
Method: DFT, PBE-GGA
State: optimized geometry

Cell lengths 3.5535, 3.5535, 15.0047 Å; angles 90.00, 90.00, 90.00 degrees
With the nearest neighbours (Å) after each atom.
Element x y z (fractional)
Er (0.0000, 0.0000, 0.0000)  8 Au 3.03
Pu (0.0000, 0.0000, 0.2463)  8 Au 3.15-3.22
Pu (0.0000, 0.0000, 0.5000)  8 Au 3.15
Pu (0.0000, 0.0000, 0.7537)  8 Au 3.15-3.22
Au (0.5000, 0.5000, 0.1125)  4 Er 3.03, 4 Pu 3.22, 1 Au 3.38
Au (0.5000, 0.5000, 0.3730)  8 Pu 3.15
Au (0.5000, 0.5000, 0.6270)  8 Pu 3.15
Au (0.5000, 0.5000, 0.8875)  4 Er 3.03, 4 Pu 3.22, 1 Au 3.38

Results
**Crystal system**: tetragonal
**Formation enthalpy at 0 K**: -0.515 eV/atom
**Energy**: -64.79 eV/f.u.

=====

no.,M_tot (μB per formula unit)
1,3.5
2,0.0
3,0.0
4,0.0
5,0.0
6,17.4